A relaxed BaPr2RuN4 crystal. Source: Alexandria, functional PBE.

The structure belongs to space group Cmcm (No. 63); the cell edges are 3.635, 12.657 and 12.483 Å and the angles 90.00°, 90.00° and 90.00°. The inequivalent atoms are Ba at (0.000, 0.076, 0.250), Pr at (0.000, 0.369, 0.042), Ru at (0.000, 0.187, 0.750), N at (0.000, 0.000, 0.000), N at (0.000, 0.258, 0.617) and N at (0.000, 0.391, 0.250).

As for the total energy: -7.46 eV/atom. The calculation puts the energy relative to the elements, uncorrected at -0.70 eV/atom. The calculation puts the total magnetization at 0.0 Bohr magnetons per cell. For the density, the calculation gives 6.66 Mg/m³.

***

A relaxed Ba2PrTaN4 crystal. Source: Alexandria, functional PBE.

The structure belongs to space group Imma (No. 74); the cell edges are 7.095, 7.462 and 10.462 Å and the angles 90.00°, 90.00° and 90.00°. The inequivalent atoms are Ba at (0.000, 0.000, 0.000), Ba at (0.250, 0.250, 0.250), Pr at (0.000, 0.000, 0.500), Ta at (0.250, 0.250, 0.750), N at (0.000, 0.054, 0.744) and N at (0.231, 0.250, 0.547).

As for the total energy: -7.45 eV/atom. The calculation puts the energy relative to the elements, uncorrected at -0.73 eV/atom. The calculation puts the total magnetization at 0.0 Bohr magnetons per cell. For the density, the calculation gives 7.82 Mg/m³.

***

A relaxed BaPrTaN3 crystal. Source: Alexandria, functional PBE.

The structure belongs to space group C2/m (No. 12); the cell edges are 13.992, 4.113 and 7.829 Å and the angles 90.00°, 105.57° and 90.00°. The inequivalent atoms are Ba at (0.147, 0.000, 0.074), Pr at (0.157, 0.000, 0.580), Ta at (0.002, 0.500, 0.303), N at (0.005, 0.000, 0.311), N at (0.147, 0.500, 0.801) and N at (0.156, 0.500, 0.345).

As for the total energy: -8.22 eV/atom. The calculation puts the energy relative to the elements, uncorrected at -0.97 eV/atom. The calculation puts the total magnetization at 0.0 Bohr magnetons per cell. For the density, the calculation gives 7.67 Mg/m³.

***

A relaxed BaPrTcN4 crystal. Source: Alexandria, functional PBE.

The structure belongs to space group P2_1/m (No. 11); the cell edges are 6.132, 5.926 and 7.520 Å and the angles 90.00°, 106.56° and 90.00°. The inequivalent atoms are Ba at (0.217, 0.250, 0.425), Pr at (0.285, 0.250, 0.948), Tc at (0.255, 0.750, 0.175), N at (0.070, 0.750, 0.327), N at (0.073, 0.750, 0.940) and N at (0.449, 0.508, 0.211).

As for the total energy: -7.92 eV/atom. The calculation puts the energy relative to the elements, uncorrected at -0.73 eV/atom. The calculation puts the total magnetization at 0.0 Bohr magnetons per cell. For the density, the calculation gives 5.48 Mg/m³.

***

A relaxed BaPr2TiN4 crystal. Source: Alexandria, functional PBE.

The structure belongs to space group Cmcm (No. 63); the cell edges are 3.653, 12.744 and 12.392 Å and the angles 90.00°, 90.00° and 90.00°. The inequivalent atoms are Ba at (0.000, 0.099, 0.250), Pr at (0.000, 0.370, 0.039), Ti at (0.000, 0.173, 0.750), N at (0.000, 0.000, 0.000), N at (0.000, 0.258, 0.625) and N at (0.000, 0.400, 0.250).

As for the total energy: -7.83 eV/atom. The calculation puts the energy relative to the elements, uncorrected at -1.24 eV/atom. The calculation puts the total magnetization at 0.0 Bohr magnetons per cell. For the density, the calculation gives 6.02 Mg/m³.

***

A relaxed Ba2PrU3N8 crystal. Source: Alexandria, functional PBE.

The structure belongs to space group R3m (No. 160, hexagonal axes); the cell edges are 7.0609, 7.0609 and 19.4348 Å and the angles 90.00°, 90.00° and 120.00°. The inequivalent atoms are Ba at (0.0000, 0.0000, 0.0000), Ba at (0.0000, 0.0000, 0.3610), Pr at (0.0000, 0.0000, 0.8192), U at (0.1680, 0.3361, 0.1950), N at (0.0000, 0.0000, 0.1429), N at (0.0000, 0.0000, 0.5780), N at (0.0504, 0.5252, 0.1364) and N at (0.1757, 0.3514, 0.9111).

As for the total energy: -9.01 eV/atom. The calculation puts the energy relative to the elements, uncorrected at -1.22 eV/atom. The calculation puts the total magnetization at 3.3 Bohr magnetons per cell. For the density, the calculation gives 7.37 Mg/m³.